# 1
First-principles (GGA-PBEsol) data for an optimized crystal structure of CuTeN2, as listed in the Alexandria database.

```
4
Lattice="3.123 0.000 0.000 1.562 2.705 0.000 1.562 0.902 6.048" Properties=species:S:1:pos:R:3 pbc="T T T"
Te 0.000 0.000 0.000
Cu 3.123 1.803 3.024
N 4.685 2.705 2.116
N 1.562 0.902 3.932
```

Computed properties:
**Formation energy without anion corrections**: 3.840 eV/f.u.
**Symmetry**: No. 166
**Density of states at the Fermi level**: 2.280 states/eV/cell

# 2
First-principles (GGA-PBEsol) data for an optimized crystal structure of CuTeWN2, as listed in the Alexandria database.

```
5
Lattice="3.845 0.000 0.000 0.000 3.845 0.000 0.000 0.000 5.008" Properties=species:S:1:pos:R:3 pbc="T T T"
Te 0.000 0.000 2.504
Cu 0.000 0.000 0.000
W 1.923 1.923 2.504
N 0.000 1.923 0.000
N 1.923 0.000 0.000
```

Computed properties:
**Formation energy without anion corrections**: 9.978 eV/f.u.
**Symmetry**: No. 123
**Density of states at the Fermi level**: 3.181 states/eV/cell

# 3
First-principles (GGA-PBEsol) data for an optimized crystal structure of ZnCuTe2N, as listed in the Alexandria database.

```
5
Lattice="3.457 0.000 0.000 0.000 5.323 0.000 0.000 0.000 5.323" Properties=species:S:1:pos:R:3 pbc="T T T"
Zn 1.728 2.661 2.661
Te 0.000 0.000 2.661
Te 0.000 2.661 0.000
Cu 0.000 0.000 0.000
N 1.728 0.000 0.000
```

Computed properties:
**Formation energy without anion corrections**: 3.476 eV/f.u.
**Symmetry**: No. 123
**Density of states at the Fermi level**: 2.794 states/eV/cell

# 4
First-principles (GGA-PBEsol) data for an optimized crystal structure of TiCu3N, as listed in the Alexandria database.

```
5
Lattice="4.579 0.000 0.000 0.000 4.579 0.000 0.000 0.000 4.579" Properties=species:S:1:pos:R:3 pbc="T T T"
N 2.290 2.290 2.290
Cu 0.000 2.290 0.000
Cu 0.000 0.000 2.290
Cu 2.290 0.000 0.000
Ti 0.000 0.000 0.000
```

Computed properties:
**Formation energy without anion corrections**: 12.098 eV/f.u.
**Symmetry**: No. 221
**Density of states at the Fermi level**: 3.942 states/eV/cell